# RbTmZnF6

Crystalline RbTmZnF6 at its relaxed geometry (PBE, the Alexandria database).

Density: 4.254 g cm⁻³
Calculated volume: 677.37 Å³/cell
Uncorrected formation energy: -29.2 eV per formula unit

Geometry as CIF:
```
data_RbTmZnF6
_chemical_formula_sum 'Rb4 Tm4 Zn4 F24'
_symmetry_space_group_name_H-M 'I m m a'
_symmetry_Int_Tables_number 74
_symmetry_space_group_name_Hall '-I 2b 2'
_cell_length_a 7.5999
_cell_length_b 8.0442
_cell_length_c 11.0800
_cell_angle_alpha 90.00
_cell_angle_beta 90.00
_cell_angle_gamma 90.00
loop_
_atom_site_label
_atom_site_fract_x
_atom_site_fract_y
_atom_site_fract_z
_atom_site_occupancy
Rb1 0.0000 0.2500 0.0557 1
Tm1 0.0000 0.0000 0.5000 1
Zn1 0.2500 0.2500 0.7500 1
F1 0.0000 0.2500 0.4264 1
F2 0.0000 0.2500 0.8021 1
F3 0.2107 0.0668 0.6178 1
```

---

# RbTmZn2F8

Crystalline RbTmZn2F8 at its relaxed geometry (PBE, the Alexandria database).

Density: 4.226 g cm⁻³
Calculated volume: 633.25 Å³/cell
Uncorrected formation energy: -35.2 eV per formula unit

Geometry as CIF:
```
data_RbTmZn2F8
_chemical_formula_sum 'Rb3 Tm3 Zn6 F24'
_symmetry_space_group_name_H-M 'R 3 2'
_symmetry_Int_Tables_number 155
_symmetry_space_group_name_Hall 'R 3 2"'
_cell_length_a 5.3188
_cell_length_b 5.3188
_cell_length_c 25.8472
_cell_angle_alpha 90.00
_cell_angle_beta 90.00
_cell_angle_gamma 120.00
loop_
_atom_site_label
_atom_site_fract_x
_atom_site_fract_y
_atom_site_fract_z
_atom_site_occupancy
Rb1 0.0000 0.0000 0.0000 1
Tm1 0.0000 0.0000 0.5000 1
Zn1 0.0000 0.0000 0.2514 1
F1 0.0000 0.0000 0.3232 1
F2 0.0122 0.3606 0.1139 1
```

---

# Rb2TmZn3F12

Crystalline Rb2TmZn3F12 at its relaxed geometry (PBE, the Alexandria database).

Density: 4.168 g cm⁻³
Calculated volume: 913.13 Å³/cell
Uncorrected formation energy: -49.3 eV per formula unit

Geometry as CIF:
```
data_Rb2TmZn3F12
_chemical_formula_sum 'Rb6 Tm3 Zn9 F36'
_symmetry_space_group_name_H-M 'R -3 m'
_symmetry_Int_Tables_number 166
_symmetry_space_group_name_Hall '-R 3 2"'
_cell_length_a 7.4333
_cell_length_b 7.4333
_cell_length_c 19.0827
_cell_angle_alpha 90.00
_cell_angle_beta 90.00
_cell_angle_gamma 120.00
loop_
_atom_site_label
_atom_site_fract_x
_atom_site_fract_y
_atom_site_fract_z
_atom_site_occupancy
Rb1 0.0000 0.0000 0.1155 1
Tm1 0.0000 0.0000 0.5000 1
Zn1 0.0000 0.5000 0.0000 1
F1 0.0492 0.5246 0.1077 1
F2 0.0709 0.5354 0.3466 1
```

---

# RbUF4

Crystalline RbUF4 at its relaxed geometry (PBE, the Alexandria database).

Density: 5.936 g cm⁻³
Calculated volume: 223.50 Å³/cell
Distance to the lowest polymorph of the same formula: 105 meV/atom
Uncorrected formation energy: -18.6 eV per formula unit

Geometry as CIF:
```
data_RbUF4
_chemical_formula_sum 'Rb2 U2 F8'
_symmetry_space_group_name_H-M 'P -1'
_symmetry_Int_Tables_number 2
_symmetry_space_group_name_Hall '-P 1'
_cell_length_a 5.3174
_cell_length_b 5.7952
_cell_length_c 8.0476
_cell_angle_alpha 109.96
_cell_angle_beta 105.17
_cell_angle_gamma 90.82
loop_
_atom_site_label
_atom_site_fract_x
_atom_site_fract_y
_atom_site_fract_z
_atom_site_occupancy
Rb1 0.2501 0.2499 0.0003 1
U1 0.0000 0.5000 0.5000 1
U2 0.5000 0.0000 0.5000 1
F1 0.1649 0.1991 0.6240 1
F2 0.2068 0.7324 0.7923 1
F3 0.2965 0.7689 0.2072 1
F4 0.3343 0.3024 0.3768 1
```

---

# Rb2UF4

Crystalline Rb2UF4 at its relaxed geometry (PBE, the Alexandria database).

Density: 3.482 g cm⁻³
Calculated volume: 462.49 Å³/cell
Uncorrected formation energy: -18.4 eV per formula unit

Geometry as CIF:
```
data_Rb2UF4
_chemical_formula_sum 'Rb4 U2 F8'
_symmetry_space_group_name_H-M 'I 4/m m m'
_symmetry_Int_Tables_number 139
_symmetry_space_group_name_Hall '-I 4 2'
_cell_length_a 4.6288
_cell_length_b 4.6288
_cell_length_c 21.5858
_cell_angle_alpha 90.00
_cell_angle_beta 90.00
_cell_angle_gamma 90.00
loop_
_atom_site_label
_atom_site_fract_x
_atom_site_fract_y
_atom_site_fract_z
_atom_site_occupancy
Rb1 0.0000 0.0000 0.1570 1
U1 0.0000 0.0000 0.5000 1
F1 0.0000 0.0000 0.3975 1
F2 0.0000 0.5000 0.0000 1
```

---

# RbUF6

Crystalline RbUF6 at its relaxed geometry (PBE, the Alexandria database).

Density: 4.340 g cm⁻³
Calculated volume: 502.13 Å³/cell
Uncorrected formation energy: -27.3 eV per formula unit

Geometry as CIF:
```
data_RbUF6
_chemical_formula_sum 'Rb3 U3 F18'
_symmetry_space_group_name_H-M 'R -3 m'
_symmetry_Int_Tables_number 166
_symmetry_space_group_name_Hall '-R 3 2"'
_cell_length_a 5.8882
_cell_length_b 5.8882
_cell_length_c 16.7233
_cell_angle_alpha 90.00
_cell_angle_beta 90.00
_cell_angle_gamma 120.00
loop_
_atom_site_label
_atom_site_fract_x
_atom_site_fract_y
_atom_site_fract_z
_atom_site_occupancy
Rb1 0.0000 0.0000 0.0000 1
U1 0.0000 0.0000 0.5000 1
F1 0.0043 0.5022 0.0927 1
```

---

# RbU2F8

Crystalline RbU2F8 at its relaxed geometry (PBE, the Alexandria database).

Density: 6.480 g cm⁻³
Calculated volume: 365.67 Å³/cell
Uncorrected formation energy: -38.2 eV per formula unit

Geometry as CIF:
```
data_RbU2F8
_chemical_formula_sum 'Rb2 U4 F16'
_symmetry_space_group_name_H-M 'C 1 2/m 1'
_symmetry_Int_Tables_number 12
_symmetry_space_group_name_Hall '-C 2y'
_cell_length_a 7.2933
_cell_length_b 11.2055
_cell_length_c 4.5261
_cell_angle_alpha 90.00
_cell_angle_beta 98.66
_cell_angle_gamma 90.00
loop_
_atom_site_label
_atom_site_fract_x
_atom_site_fract_y
_atom_site_fract_z
_atom_site_occupancy
Rb1 0.0000 0.0000 0.0000 1
U1 0.0000 0.3242 0.5000 1
F1 0.0000 0.2698 0.0000 1
F2 0.0976 0.5000 0.7627 1
F3 0.1898 0.1465 0.5576 1
```

---

# RbUF2

Crystalline RbUF2 at its relaxed geometry (PBE, the Alexandria database).

Density: 6.970 g cm⁻³
Calculated volume: 258.35 Å³/cell
Uncorrected formation energy: -6.9 eV per formula unit

Geometry as CIF:
```
data_RbUF2
_chemical_formula_sum 'Rb3 U3 F6'
_symmetry_space_group_name_H-M 'R -3 m'
_symmetry_Int_Tables_number 166
_symmetry_space_group_name_Hall '-R 3 2"'
_cell_length_a 3.3762
_cell_length_b 3.3762
_cell_length_c 26.1707
_cell_angle_alpha 90.00
_cell_angle_beta 90.00
_cell_angle_gamma 120.00
loop_
_atom_site_label
_atom_site_fract_x
_atom_site_fract_y
_atom_site_fract_z
_atom_site_occupancy
Rb1 0.0000 0.0000 0.0000 1
U1 0.0000 0.0000 0.5000 1
F1 0.0000 0.0000 0.1010 1
```

---

# RbUF5

Crystalline RbUF5 at its relaxed geometry (PBE, the Alexandria database).

Density: 3.904 g cm⁻³
Calculated volume: 356.01 Å³/cell
Uncorrected formation energy: -24.0 eV per formula unit

Geometry as CIF:
```
data_RbUF5
_chemical_formula_sum 'Rb2 U2 F10'
_symmetry_space_group_name_H-M 'I m m m'
_symmetry_Int_Tables_number 71
_symmetry_space_group_name_Hall '-I 2 2'
_cell_length_a 4.5907
_cell_length_b 7.9197
_cell_length_c 9.7920
_cell_angle_alpha 90.00
_cell_angle_beta 90.00
_cell_angle_gamma 90.00
loop_
_atom_site_label
_atom_site_fract_x
_atom_site_fract_y
_atom_site_fract_z
_atom_site_occupancy
Rb1 0.0000 0.0000 0.0000 1
U1 0.0000 0.0000 0.5000 1
F1 0.0000 0.0000 0.2831 1
F2 0.0000 0.2728 0.5000 1
F3 0.0000 0.5000 0.0000 1
```

---

# Rb5U2F12

Crystalline Rb5U2F12 at its relaxed geometry (PBE, the Alexandria database).

Density: 4.664 g cm⁻³
Calculated volume: 805.69 Å³/cell
Uncorrected formation energy: -59.7 eV per formula unit

Geometry as CIF:
```
data_Rb5U2F12
_chemical_formula_sum 'Rb10 U4 F24'
_symmetry_space_group_name_H-M 'C 1 2/m 1'
_symmetry_Int_Tables_number 12
_symmetry_space_group_name_Hall '-C 2y'
_cell_length_a 14.0926
_cell_length_b 8.3748
_cell_length_c 6.9160
_cell_angle_alpha 90.00
_cell_angle_beta 99.22
_cell_angle_gamma 90.00
loop_
_atom_site_label
_atom_site_fract_x
_atom_site_fract_y
_atom_site_fract_z
_atom_site_occupancy
Rb1 0.0000 0.0000 0.0000 1
Rb2 0.1389 0.5000 0.0162 1
Rb3 0.2392 0.0000 0.4800 1
U1 0.0000 0.2523 0.5000 1
F1 0.0291 0.5000 0.3275 1
F2 0.0682 0.0000 0.6443 1
F3 0.1003 0.2060 0.2729 1
F4 0.1426 0.3013 0.7010 1
```

---

# Rb2UF8

Crystalline Rb2UF8 at its relaxed geometry (PBE, the Alexandria database).

Density: 4.300 g cm⁻³
Calculated volume: 433.29 Å³/cell
Distance to the lowest polymorph of the same formula: 0 meV/atom
Uncorrected formation energy: -35.3 eV per formula unit

Geometry as CIF:
```
data_Rb2UF8
_chemical_formula_sum 'Rb4 U2 F16'
_symmetry_space_group_name_H-M 'I m m 2'
_symmetry_Int_Tables_number 44
_symmetry_space_group_name_Hall 'I 2 -2'
_cell_length_a 6.2808
_cell_length_b 12.4827
_cell_length_c 5.5265
_cell_angle_alpha 90.00
_cell_angle_beta 90.00
_cell_angle_gamma 90.00
loop_
_atom_site_label
_atom_site_fract_x
_atom_site_fract_y
_atom_site_fract_z
_atom_site_occupancy
Rb1 0.0000 0.1735 0.0000 1
U1 0.0000 0.5000 0.0854 1
F1 0.0000 0.3536 0.2976 1
F2 0.2030 0.3966 0.8793 1
F3 0.2258 0.0000 0.8104 1
```

---

# RbUF4

Crystalline RbUF4 at its relaxed geometry (PBE, the Alexandria database).

Density: 6.447 g cm⁻³
Calculated volume: 411.55 Å³/cell
Distance to the lowest polymorph of the same formula: 0 meV/atom
Uncorrected formation energy: -19.3 eV per formula unit

Geometry as CIF:
```
data_RbUF4
_chemical_formula_sum 'Rb4 U4 F16'
_symmetry_space_group_name_H-M 'P n m a'
_symmetry_Int_Tables_number 62
_symmetry_space_group_name_Hall '-P 2ac 2n'
_cell_length_a 6.5838
_cell_length_b 3.8239
_cell_length_c 16.3470
_cell_angle_alpha 90.00
_cell_angle_beta 90.00
_cell_angle_gamma 90.00
loop_
_atom_site_label
_atom_site_fract_x
_atom_site_fract_y
_atom_site_fract_z
_atom_site_occupancy
Rb1 0.2221 0.2500 0.1983 1
U1 0.2466 0.7500 0.4407 1
F1 0.0057 0.7500 0.9443 1
F2 0.1012 0.2500 0.8119 1
F3 0.1071 0.2500 0.3685 1
F4 0.1333 0.2500 0.5367 1
```